(1)
Computed, not measured: a relaxed Tb2PrOs crystal at the PBE-GGA level of DFT.

Geometry as CIF:
```
data_Tb2PrOs
_space_group_name_H-M_alt 'P 1'
_space_group_IT_number 1
_space_group_name_Hall 'P 1'
_cell_length_a 3.560
_cell_length_b 3.560
_cell_length_c 11.145
_cell_angle_alpha 80.81
_cell_angle_beta 80.81
_cell_angle_gamma 60.00
loop_
_atom_site_label
_atom_site_fract_x
_atom_site_fract_y
_atom_site_fract_z
_atom_site_occupancy
Os1 0.500 0.500 0.500 1
Tb1 0.109 0.109 0.674 1
Tb2 0.891 0.891 0.326 1
Pr1 0.000 0.000 0.000 1
```

Results
- E: -6.058 eV per atom
- Spin magnetization: 0.00 μB per cell

***

(2)
Computed, not measured: a relaxed Tb3PrOs crystal at the PBE-GGA level of DFT.

Geometry as CIF:
```
data_Tb3PrOs
_space_group_name_H-M_alt 'P 1'
_space_group_IT_number 1
_space_group_name_Hall 'P 1'
_cell_length_a 5.115
_cell_length_b 8.697
_cell_length_c 13.208
_cell_angle_alpha 90.00
_cell_angle_beta 90.00
_cell_angle_gamma 90.00
loop_
_atom_site_label
_atom_site_fract_x
_atom_site_fract_y
_atom_site_fract_z
_atom_site_occupancy
Tb1 0.750 0.560 0.723 1
Tb2 0.750 0.415 0.947 1
Tb3 0.750 0.216 0.175 1
Tb4 0.250 0.085 0.447 1
Tb5 0.750 0.716 0.325 1
Tb6 0.250 0.784 0.825 1
Tb7 0.250 0.585 0.053 1
Tb8 0.250 0.440 0.277 1
Tb9 0.750 0.915 0.553 1
Tb10 0.250 0.284 0.675 1
Tb11 0.750 0.060 0.777 1
Tb12 0.250 0.940 0.223 1
Os1 0.250 0.963 0.652 1
Os2 0.250 0.463 0.848 1
Os3 0.750 0.037 0.348 1
Os4 0.750 0.537 0.152 1
Pr1 0.250 0.145 0.962 1
Pr2 0.750 0.355 0.462 1
Pr3 0.750 0.855 0.038 1
Pr4 0.250 0.645 0.538 1
```

Results
- E: -6.051 eV per atom
- Spin magnetization: 0.00 μB per cell

***

(3)
Computed, not measured: a relaxed Tb3PrOs crystal at the PBE-GGA level of DFT.

Geometry as CIF:
```
data_Tb3PrOs
_space_group_name_H-M_alt 'P 1'
_space_group_IT_number 1
_space_group_name_Hall 'P 1'
_cell_length_a 5.476
_cell_length_b 5.476
_cell_length_c 5.476
_cell_angle_alpha 90.00
_cell_angle_beta 90.00
_cell_angle_gamma 90.00
loop_
_atom_site_label
_atom_site_fract_x
_atom_site_fract_y
_atom_site_fract_z
_atom_site_occupancy
Tb1 0.000 0.000 0.500 1
Tb2 0.500 0.000 0.000 1
Tb3 0.000 0.500 0.000 1
Pr1 0.500 0.500 0.500 1
Os1 0.000 0.000 0.000 1
```

Results
- E: -5.971 eV per atom
- Spin magnetization: 0.49 μB per cell

***

(4)
Computed, not measured: a relaxed Tb2PrOs crystal at the PBE-GGA level of DFT.

Geometry as CIF:
```
data_Tb2PrOs
_space_group_name_H-M_alt 'P 1'
_space_group_IT_number 1
_space_group_name_Hall 'P 1'
_cell_length_a 3.999
_cell_length_b 6.477
_cell_length_c 9.146
_cell_angle_alpha 90.00
_cell_angle_beta 90.00
_cell_angle_gamma 107.98
loop_
_atom_site_label
_atom_site_fract_x
_atom_site_fract_y
_atom_site_fract_z
_atom_site_occupancy
Os1 0.745 0.490 0.750 1
Os2 0.255 0.510 0.250 1
Tb1 0.352 0.704 0.931 1
Tb2 0.648 0.296 0.431 1
Tb3 0.352 0.704 0.569 1
Tb4 0.648 0.296 0.069 1
Pr1 0.074 0.148 0.750 1
Pr2 0.926 0.852 0.250 1
```

Results
- E: -6.481 eV per atom
- Spin magnetization: 0.00 μB per cell